(1)
Entry from Alexandria via LeMat-Bulk: a relaxed structure of SrCaI4 (PBEsol).

Lattice parameters (Å, degrees): 7.792 7.792 15.915 90.00 90.00 90.00
Space group I4_1/a (No. 88, origin choice 2)
Unique sites:
Sr: 0.000 0.250 0.125 (multiplicity 4)
Ca: 0.000 0.250 0.625 (multiplicity 4)
I: 0.216 0.496 0.273 (multiplicity 16)

Properties
- uncorrected formation energy (eV per atom) = -1.57


(2)
Entry from Alexandria via LeMat-Bulk: a relaxed structure of SrCaI4 (PBEsol).

Lattice parameters (Å, degrees): 6.970 18.491 7.842 90.00 90.00 90.00
Space group Pbcn (No. 60)
Unique sites:
Sr: 0.000 0.067 0.250 (multiplicity 4)
Ca: 0.000 0.315 0.250 (multiplicity 4)
I: 0.237 0.439 0.088 (multiplicity 8)
I: 0.244 0.304 0.587 (multiplicity 8)

Properties
- uncorrected formation energy (eV per atom) = -1.60


(3)
Entry from Alexandria via LeMat-Bulk: a relaxed structure of Sr2CaI6 (PBEsol).

Lattice parameters (Å, degrees): 8.0188 8.0188 6.9519 90.00 90.00 120.00
Space group P-31m (No. 162)
Unique sites:
Sr: 0.3333 0.6667 0.0000 (multiplicity 2)
Ca: 0.0000 0.0000 0.5000 (multiplicity 1)
I: 0.0000 0.3301 0.2615 (multiplicity 6)

Properties
- ΔE to the lowest computed polymorph (meV/atom) = 35
- uncorrected formation energy (eV per atom) = -1.61


(4)
Entry from Alexandria via LeMat-Bulk: a relaxed structure of Sr2CaI6 (PBEsol).

Lattice parameters (Å, degrees): 7.496 8.251 13.134 90.00 120.57 90.00
Space group P2_1/c (No. 14)
Unique sites:
Sr: 0.179 0.111 0.233 (multiplicity 4)
Ca: 0.500 0.000 0.000 (multiplicity 2)
I: 0.104 0.189 0.937 (multiplicity 4)
I: 0.254 0.677 0.927 (multiplicity 4)
I: 0.398 0.043 0.745 (multiplicity 4)

Properties
- ΔE to the lowest computed polymorph (meV/atom) = 0
- uncorrected formation energy (eV per atom) = -1.65


(5)
Entry from Alexandria via LeMat-Bulk: a relaxed structure of Sr2CaI6 (PBEsol).

Lattice parameters (Å, degrees): 24.745 7.700 8.269 90.00 107.43 90.00
Space group C2/c (No. 15)
Unique sites:
Sr: 0.174 0.199 0.187 (multiplicity 8)
Ca: 0.000 0.333 0.750 (multiplicity 4)
I: 0.083 0.487 0.567 (multiplicity 8)
I: 0.088 0.023 0.848 (multiplicity 8)
I: 0.234 0.498 0.978 (multiplicity 8)

Properties
- ΔE to the lowest computed polymorph (meV/atom) = 27
- uncorrected formation energy (eV per atom) = -1.62


(6)
Entry from Alexandria via LeMat-Bulk: a relaxed structure of Sr2CaI6 (PBEsol).

Lattice parameters (Å, degrees): 7.862 7.862 23.508 90.00 90.00 90.00
Space group P-4b2 (No. 117)
Unique sites:
Sr: 0.000 0.000 0.166 (multiplicity 4)
Sr: 0.000 0.500 0.335 (multiplicity 4)
Ca: 0.000 0.000 0.500 (multiplicity 2)
Ca: 0.000 0.500 0.000 (multiplicity 2)
I: 0.212 0.214 0.583 (multiplicity 8)
I: 0.223 0.271 0.918 (multiplicity 8)
I: 0.234 0.754 0.750 (multiplicity 8)

Properties
- ΔE to the lowest computed polymorph (meV/atom) = 52
- uncorrected formation energy (eV per atom) = -1.59


(7)
Entry from Alexandria via LeMat-Bulk: a relaxed structure of SrCaI4 (PBEsol).

Lattice parameters (Å, degrees): 10.565 10.578 4.741 90.00 90.00 90.00
Space group Cmmm (No. 65)
Unique sites:
Sr: 0.000 0.000 0.000 (multiplicity 2)
Ca: 0.000 0.500 0.500 (multiplicity 2)
I: 0.000 0.206 0.500 (multiplicity 4)
I: 0.192 0.500 0.000 (multiplicity 4)

Properties
- uncorrected formation energy (eV per atom) = -1.60


(8)
Entry from Alexandria via LeMat-Bulk: a relaxed structure of SrCaI2 (PBEsol).

Lattice parameters (Å, degrees): 7.289 7.289 14.607 90.00 90.00 90.00
Space group I-42d (No. 122)
Unique sites:
Sr: 0.000 0.000 0.000 (multiplicity 4)
Ca: 0.000 0.000 0.500 (multiplicity 4)
I: 0.227 0.250 0.625 (multiplicity 8)

Properties
- uncorrected formation energy (eV per atom) = -0.84


(9)
Entry from Alexandria via LeMat-Bulk: a relaxed structure of SrCaI4 (PBEsol).

Lattice parameters (Å, degrees): 7.046 4.573 7.961 90.00 90.05 90.00
Space group P2/m (No. 10)
Unique sites:
Sr: 0.000 0.000 0.000 (multiplicity 1)
Ca: 0.000 0.500 0.500 (multiplicity 1)
I: 0.248 0.000 0.345 (multiplicity 2)
I: 0.256 0.500 0.820 (multiplicity 2)

Properties
- uncorrected formation energy (eV per atom) = -1.64


(10)
Entry from Alexandria via LeMat-Bulk: a relaxed structure of Sr3CaI (PBEsol).

Lattice parameters (Å, degrees): 6.307 6.307 6.307 90.00 90.00 90.00
Space group Pm-3m (No. 221)
Unique sites:
Sr: 0.000 0.000 0.500 (multiplicity 3)
Ca: 0.500 0.500 0.500 (multiplicity 1)
I: 0.000 0.000 0.000 (multiplicity 1)

Properties
- uncorrected formation energy (eV per atom) = -0.21


(11)
Entry from Alexandria via LeMat-Bulk: a relaxed structure of SrCaTeI2 (PBEsol).

Lattice parameters (Å, degrees): 5.989 5.989 6.306 90.00 90.00 90.00
Space group P4/mmm (No. 123)
Unique sites:
Sr: 0.000 0.000 0.000 (multiplicity 1)
Ca: 0.500 0.500 0.500 (multiplicity 1)
Te: 0.000 0.000 0.500 (multiplicity 1)
I: 0.000 0.500 0.000 (multiplicity 2)

Properties
- uncorrected formation energy (eV per atom) = -0.94


(12)
Entry from Alexandria via LeMat-Bulk: a relaxed structure of SrCa2TlI (PBEsol).

Lattice parameters (Å, degrees): 5.937 5.937 6.520 90.00 90.00 90.00
Space group P4/mmm (No. 123)
Unique sites:
Sr: 0.000 0.000 0.000 (multiplicity 1)
Ca: 0.000 0.500 0.500 (multiplicity 2)
Tl: 0.500 0.500 0.500 (multiplicity 1)
I: 0.500 0.500 0.000 (multiplicity 1)

Properties
- uncorrected formation energy (eV per atom) = -0.11


- uncorrected formation energy of number 3 (Sr2CaI6)?
  -1.61 eV per atom


- What is the uncorrected formation energy in the second record?
  -1.60 eV per atom


- What is the uncorrected formation energy in the third record?
  -1.61 eV per atom


- Which of these has the lowest uncorrected formation energy?
  number 4